(1)
A relaxed Pm2Pd2Au3 crystal. Source: the Alexandria database, functional PBE.

Computed properties:
The value obtained for the formation enthalpy at 0 K is -631 meV/atom. As for the crystal system: monoclinic. The calculation puts the density of states at the Fermi level at 3.8 states/eV per cell. Its symmetry is C2/m. The spin magnetization is 0.000 Bohr magnetons per cell. The theoretical density comes out at 11.585 Mg/m³.

Unit cell a=4.205 b=5.355 c=9.754 alpha=125.45 beta=90.00 gamma=113.12
Fractional positions:
Pm: 0.437 0.874 0.234
Pm: 0.563 0.126 0.766
Au: 0.000 0.000 0.500
Au: 0.323 0.647 0.859
Au: 0.677 0.353 0.141
Pd: 0.766 0.532 0.608
Pd: 0.234 0.468 0.392

(2)
A relaxed Pm4PdAu crystal. Source: the Alexandria database, functional PBE.

Computed properties:
The value obtained for the formation enthalpy at 0 K is -501 meV/atom. As for the crystal system: tetragonal. The calculation puts the density of states at the Fermi level at 17.0 states/eV per cell. Its symmetry is P4/mcc. The spin magnetization is 0.000 Bohr magnetons per cell. The theoretical density comes out at 8.682 Mg/m³.

Unit cell a=6.599 b=7.156 c=7.156 alpha=90.00 beta=90.00 gamma=90.00
Fractional positions:
Au: 0.250 0.000 0.000
Au: 0.750 0.000 0.000
Pm: 0.000 0.329 0.179
Pm: 0.500 0.329 0.821
Pm: 0.000 0.671 0.821
Pm: 0.000 0.179 0.671
Pm: 0.500 0.821 0.671
Pm: 0.500 0.179 0.329
Pm: 0.500 0.671 0.179
Pm: 0.000 0.821 0.329
Pd: 0.750 0.500 0.500
Pd: 0.250 0.500 0.500

(3)
A relaxed Pm2Pd2Au3 crystal. Source: the Alexandria database, functional PBE.

Computed properties:
The value obtained for the formation enthalpy at 0 K is -710 meV/atom. As for the crystal system: monoclinic. The calculation puts the density of states at the Fermi level at 2.3 states/eV per cell. Its symmetry is C2/m. The spin magnetization is 0.000 Bohr magnetons per cell. The theoretical density comes out at 12.133 Mg/m³.

Unit cell a=4.215 b=5.482 c=7.055 alpha=95.54 beta=90.00 gamma=112.61
Fractional positions:
Au: 0.698 0.396 0.873
Au: 0.302 0.604 0.127
Au: 0.000 0.000 0.000
Pm: 0.613 0.226 0.314
Pm: 0.387 0.774 0.686
Pd: 0.903 0.806 0.358
Pd: 0.097 0.194 0.642

(4)
A relaxed Pm4PdAu3 crystal. Source: the Alexandria database, functional PBE.

Computed properties:
The value obtained for the formation enthalpy at 0 K is -826 meV/atom. As for the crystal system: orthorhombic. The calculation puts the density of states at the Fermi level at 5.4 states/eV per cell. Its symmetry is Pmm2. The spin magnetization is 0.000 Bohr magnetons per cell. The theoretical density comes out at 10.379 Mg/m³.

Unit cell a=3.883 b=4.746 c=11.090 alpha=90.00 beta=90.00 gamma=90.00
Fractional positions:
Pm: 0.000 0.500 0.868
Pm: 0.000 0.000 0.136
Pm: 0.500 0.000 0.639
Pm: 0.500 0.500 0.356
Au: 0.000 0.500 0.587
Au: 0.500 0.000 0.916
Au: 0.000 0.000 0.413
Pd: 0.500 0.500 0.085

(5)
A relaxed Pm3Pd3Au2 crystal. Source: the Alexandria database, functional PBE.

Computed properties:
The value obtained for the formation enthalpy at 0 K is -677 meV/atom. As for the crystal system: orthorhombic. The calculation puts the density of states at the Fermi level at 10.3 states/eV per cell. Its symmetry is Cmcm. The spin magnetization is 0.000 Bohr magnetons per cell. The theoretical density comes out at 10.988 Mg/m³.

Unit cell a=4.469 b=5.336 c=16.027 alpha=90.00 beta=90.00 gamma=114.76
Fractional positions:
Au: 0.737 0.473 0.649
Au: 0.263 0.527 0.149
Au: 0.737 0.473 0.851
Au: 0.263 0.527 0.351
Pd: 0.044 0.087 0.589
Pd: 0.832 0.664 0.250
Pd: 0.168 0.336 0.750
Pd: 0.044 0.087 0.911
Pd: 0.956 0.913 0.411
Pd: 0.956 0.913 0.089
Pm: 0.533 0.067 0.250
Pm: 0.649 0.297 0.047
Pm: 0.649 0.297 0.453
Pm: 0.467 0.933 0.750
Pm: 0.351 0.703 0.953
Pm: 0.351 0.703 0.547

(6)
A relaxed PmPd3Au3 crystal. Source: the Alexandria database, functional PBE.

Computed properties:
The value obtained for the formation enthalpy at 0 K is -445 meV/atom. As for the crystal system: trigonal. The calculation puts the density of states at the Fermi level at 4.7 states/eV per cell. Its symmetry is R-3. The spin magnetization is 0.000 Bohr magnetons per cell. The theoretical density comes out at 13.529 Mg/m³.

Unit cell a=6.656 b=6.656 c=6.656 alpha=71.94 beta=71.94 gamma=71.94
Fractional positions:
Au: 0.951 0.126 0.685
Au: 0.685 0.951 0.126
Au: 0.874 0.315 0.049
Au: 0.315 0.049 0.874
Au: 0.049 0.874 0.315
Au: 0.126 0.685 0.951
Pd: 0.184 0.466 0.620
Pd: 0.816 0.534 0.380
Pd: 0.534 0.380 0.816
Pd: 0.466 0.620 0.184
Pd: 0.380 0.816 0.534
Pd: 0.620 0.184 0.466
Pm: 0.261 0.261 0.261
Pm: 0.739 0.739 0.739

(7)
A relaxed PmPd2Au9 crystal. Source: the Alexandria database, functional PBE.

Computed properties:
The value obtained for the formation enthalpy at 0 K is -210 meV/atom. As for the crystal system: tetragonal. The calculation puts the density of states at the Fermi level at 9.1 states/eV per cell. Its symmetry is I4_1/amd. The spin magnetization is 0.000 Bohr magnetons per cell. The theoretical density comes out at 15.165 Mg/m³.

Unit cell a=7.319 b=8.783 c=8.783 alpha=80.00 beta=65.37 gamma=65.37
Fractional positions:
Pd: 0.875 0.750 0.250
Pd: 0.875 0.250 0.750
Pd: 0.375 0.750 0.750
Pd: 0.875 0.250 0.250
Au: 0.599 0.321 0.081
Au: 0.321 0.679 0.081
Au: 0.749 0.581 0.821
Au: 0.750 0.500 0.500
Au: 0.749 0.821 0.581
Au: 0.429 0.419 0.821
Au: 0.429 0.821 0.419
Au: 0.151 0.179 0.419
Au: 0.321 0.081 0.679
Au: 0.151 0.419 0.179
Au: 0.599 0.081 0.321
Au: 0.000 0.000 0.000
Au: 0.080 0.321 0.919
Au: 0.670 0.581 0.179
Au: 0.080 0.919 0.321
Au: 0.001 0.679 0.919
Au: 0.001 0.919 0.679
Au: 0.670 0.179 0.581
Pm: 0.500 0.000 0.000
Pm: 0.250 0.500 0.500

(8)
A relaxed Pm6Pd2Au crystal. Source: the Alexandria database, functional PBE.

Computed properties:
The value obtained for the formation enthalpy at 0 K is -525 meV/atom. As for the crystal system: orthorhombic. The calculation puts the density of states at the Fermi level at 18.0 states/eV per cell. Its symmetry is Immm. The spin magnetization is 0.000 Bohr magnetons per cell. The theoretical density comes out at 8.452 Mg/m³.

Unit cell a=8.685 b=8.685 c=8.685 alpha=106.42 beta=109.45 gamma=112.60
Fractional positions:
Au: 0.000 0.500 0.500
Au: 0.000 0.000 0.000
Pm: 0.189 0.759 0.948
Pm: 0.895 0.718 0.177
Pm: 0.189 0.241 0.430
Pm: 0.458 0.282 0.177
Pm: 0.542 0.718 0.823
Pm: 0.811 0.759 0.570
Pm: 0.701 0.371 0.670
Pm: 0.299 0.629 0.330
Pm: 0.811 0.241 0.052
Pm: 0.299 0.968 0.670
Pm: 0.105 0.282 0.823
Pm: 0.701 0.032 0.330
Pd: 0.347 0.000 0.347
Pd: 0.653 0.000 0.653
Pd: 0.500 0.632 0.132
Pd: 0.500 0.368 0.868

(9)
A relaxed PmPdAu11 crystal. Source: the Alexandria database, functional PBE.

Computed properties:
The value obtained for the formation enthalpy at 0 K is -212 meV/atom. As for the crystal system: monoclinic. The calculation puts the density of states at the Fermi level at 3.3 states/eV per cell. Its symmetry is C2/m. The spin magnetization is 0.000 Bohr magnetons per cell. The theoretical density comes out at 15.873 Mg/m³.

Unit cell a=5.568 b=7.271 c=7.382 alpha=81.19 beta=67.84 gamma=66.05
Fractional positions:
Au: 0.500 0.000 0.500
Au: 0.019 0.649 0.341
Au: 0.290 0.213 0.211
Au: 0.000 0.500 0.000
Au: 0.501 0.213 0.789
Au: 0.000 0.000 0.500
Au: 0.710 0.787 0.789
Au: 0.640 0.351 0.341
Au: 0.360 0.649 0.659
Au: 0.499 0.787 0.211
Au: 0.981 0.351 0.659
Pd: 0.500 0.500 0.000
Pm: 0.000 0.000 0.000

(10)
A relaxed Pm5Pd4Au crystal. Source: the Alexandria database, functional PBE.

Computed properties:
The value obtained for the formation enthalpy at 0 K is -768 meV/atom. As for the crystal system: tetragonal. The calculation puts the density of states at the Fermi level at 7.4 states/eV per cell. Its symmetry is P4/mmm. The spin magnetization is 0.000 Bohr magnetons per cell. The theoretical density comes out at 9.444 Mg/m³.

Unit cell a=3.608 b=3.608 c=18.206 alpha=90.00 beta=90.00 gamma=90.00
Fractional positions:
Pm: 0.500 0.500 0.698
Pm: 0.500 0.500 0.896
Pm: 0.500 0.500 0.104
Pm: 0.500 0.500 0.302
Pm: 0.500 0.500 0.500
Au: 0.000 0.000 0.000
Pd: 0.000 0.000 0.203
Pd: 0.000 0.000 0.401
Pd: 0.000 0.000 0.797
Pd: 0.000 0.000 0.599

(11)
A relaxed Pm6Pd5Au crystal. Source: the Alexandria database, functional PBE.

Computed properties:
The value obtained for the formation enthalpy at 0 K is -766 meV/atom. As for the crystal system: monoclinic. The calculation puts the density of states at the Fermi level at 9.4 states/eV per cell. Its symmetry is C2/m. The spin magnetization is 0.000 Bohr magnetons per cell. The theoretical density comes out at 9.352 Mg/m³.

Unit cell a=5.119 b=7.233 c=8.842 alpha=65.86 beta=73.50 gamma=90.00
Fractional positions:
Au: 0.000 0.000 0.000
Pd: 0.334 0.334 0.333
Pd: 0.000 0.500 0.000
Pd: 0.335 0.834 0.332
Pd: 0.665 0.166 0.668
Pd: 0.666 0.666 0.667
Pm: 0.832 0.580 0.337
Pm: 0.832 0.083 0.337
Pm: 0.168 0.420 0.663
Pm: 0.500 0.254 0.000
Pm: 0.168 0.917 0.663
Pm: 0.500 0.746 0.000

(12)
A relaxed Pm3Pd2Au5 crystal. Source: the Alexandria database, functional PBE.

Computed properties:
The value obtained for the formation enthalpy at 0 K is -582 meV/atom. As for the crystal system: orthorhombic. The calculation puts the density of states at the Fermi level at 9.3 states/eV per cell. Its symmetry is Cmmm. The spin magnetization is 0.000 Bohr magnetons per cell. The theoretical density comes out at 11.240 Mg/m³.

Unit cell a=9.832 b=9.832 c=9.832 alpha=118.43 beta=143.96 gamma=73.46
Fractional positions:
Pm: 0.000 0.250 0.250
Pm: 0.673 0.173 0.500
Pm: 0.000 0.750 0.750
Pm: 0.327 0.827 0.500
Pm: 0.673 0.673 0.000
Pm: 0.327 0.327 0.000
Au: 0.729 0.000 0.729
Au: 0.500 0.750 0.250
Au: 0.791 0.041 0.250
Au: 0.791 0.541 0.750
Au: 0.209 0.459 0.250
Au: 0.271 0.500 0.771
Au: 0.271 0.000 0.271
Au: 0.500 0.250 0.750
Au: 0.729 0.500 0.229
Au: 0.209 0.959 0.750
Pd: 0.857 0.357 0.500
Pd: 0.143 0.143 0.000
Pd: 0.857 0.857 0.000
Pd: 0.143 0.643 0.500